(1)
Compound: CaBeP2O
Source: Alexandria via LeMat-Bulk
Functional: GGA-PBEsol
Structure: relaxed

a b c (Å): 5.186 5.186 4.009
angles (deg): 90.00 90.00 90.00
Sites, in units of the cell vectors:
Ca1 0.000 0.000 0.000
Be1 0.500 0.500 0.500
P1 0.000 0.500 0.000
P2 0.500 0.000 0.000
O1 0.000 0.000 0.500

Calculated values
**SG**: No. 123

---

(2)
Compound: BeOs
Source: Alexandria via LeMat-Bulk
Functional: GGA-PBEsol
Structure: relaxed

a b c (Å): 2.683 2.683 7.386
angles (deg): 90.00 90.00 120.00
Sites, in units of the cell vectors:
Be1 0.333 0.667 0.250
Be2 0.667 0.333 0.750
Os1 0.000 0.000 0.000
Os2 0.000 0.000 0.500

Calculated values
**DFT formation energy**: 29 meV per atom
**SG**: No. 194

---

| no. | total magnetic moment (μB/f.u.) | Fermi-level density of states (states/eV per cell) | DFT total energy (eV/atom) |
| --- | --- | --- | --- |
| 1 | 0.403 | 4.1 | -3.593 |
| 2 | 0.000 | 2.9 | -8.079 |